Record 1
The following is a PBE-GGA calculation of a relaxed structure of Ac4RuSeCl2, from Alexandria.

Summary:
The raw formation energy comes out at -1.2715 eV per atom. Its magnetic moment is 0.000 μB per cell. Its density of states at the Fermi level is 5.7 states/eV/f.u.

Geometry as CIF:
```
data_Ac4RuSeCl2
_chemical_formula_sum 'Ac4 Ru1 Se1 Cl2'
_space_group_name_H-M_alt 'P 1 2/m 1'
_space_group_IT_number 10
_space_group_name_Hall '-P 2y'
_cell_length_a 7.8721
_cell_length_b 4.2771
_cell_length_c 8.0905
_cell_angle_alpha 90.00
_cell_angle_beta 107.44
_cell_angle_gamma 90.00
loop_
_atom_site_label
_atom_site_fract_x
_atom_site_fract_y
_atom_site_fract_z
_atom_site_occupancy
Ac1 0.2111 0.0000 0.2132 1
Ac2 0.2253 0.5000 0.7640 1
Ru1 0.0000 0.5000 0.0000 1
Se1 0.0000 0.0000 0.5000 1
Cl1 0.5000 0.0000 0.0000 1
Cl2 0.5000 0.5000 0.5000 1
```

Record 2
The following is a PBE-GGA calculation of a relaxed structure of UCdSn2, from Alexandria.

Summary:
The calculation puts the formation energy at 0.48 eV per formula unit. The excess energy over the best structure of this formula in the dataset comes out at 206.2 meV/atom. Its magnetic moment is 3.394 μB per cell. Its density of states at the Fermi level is 6.7 states/eV/f.u.

Geometry as CIF:
```
data_UCdSn2
_chemical_formula_sum 'U1 Cd1 Sn2'
_space_group_name_H-M_alt 'P 4/m m m'
_space_group_IT_number 123
_space_group_name_Hall '-P 4 2'
_cell_length_a 3.8252
_cell_length_b 3.8252
_cell_length_c 6.9359
_cell_angle_alpha 90.00
_cell_angle_beta 90.00
_cell_angle_gamma 90.00
loop_
_atom_site_label
_atom_site_fract_x
_atom_site_fract_y
_atom_site_fract_z
_atom_site_occupancy
U1 0.0000 0.0000 0.0000 1
Cd1 0.0000 0.0000 0.5000 1
Sn1 0.5000 0.5000 0.2722 1
```

Record 3
The following is a PBE-GGA calculation of a relaxed structure of CaCdMo, from Alexandria.

Summary:
The calculation puts the formation energy at 2.93 eV per formula unit. The excess energy over the best structure of this formula in the dataset comes out at 503.8 meV/atom. Its magnetic moment is 13.004 μB per cell. Its density of states at the Fermi level is 2.8 states/eV/f.u.

Geometry as CIF:
```
data_CaCdMo
_chemical_formula_sum 'Ca4 Cd4 Mo4'
_space_group_name_H-M_alt 'F -4 3 m'
_space_group_IT_number 216
_space_group_name_Hall 'F -4 2 3'
_cell_length_a 6.9225
_cell_length_b 6.9225
_cell_length_c 6.9225
_cell_angle_alpha 90.00
_cell_angle_beta 90.00
_cell_angle_gamma 90.00
loop_
_atom_site_label
_atom_site_fract_x
_atom_site_fract_y
_atom_site_fract_z
_atom_site_occupancy
Ca1 0.0000 0.0000 0.0000 1
Cd1 0.2500 0.2500 0.7500 1
Mo1 0.0000 0.0000 0.5000 1
```

Record 4
The following is a PBE-GGA calculation of a relaxed structure of YFe2W, from Alexandria.

Summary:
The calculation puts the formation energy at 2.29 eV per formula unit. The excess energy over the best structure of this formula in the dataset comes out at 411.6 meV/atom. Its magnetic moment is 11.599 μB per cell. Its density of states at the Fermi level is 3.9 states/eV/f.u.

Geometry as CIF:
```
data_YFe2W
_chemical_formula_sum 'Y4 Fe8 W4'
_space_group_name_H-M_alt 'F -4 3 m'
_space_group_IT_number 216
_space_group_name_Hall 'F -4 2 3'
_cell_length_a 6.3195
_cell_length_b 6.3195
_cell_length_c 6.3195
_cell_angle_alpha 90.00
_cell_angle_beta 90.00
_cell_angle_gamma 90.00
loop_
_atom_site_label
_atom_site_fract_x
_atom_site_fract_y
_atom_site_fract_z
_atom_site_occupancy
Y1 0.0000 0.0000 0.0000 1
Fe1 0.0000 0.0000 0.5000 1
Fe2 0.2500 0.2500 0.2500 1
W1 0.2500 0.2500 0.7500 1
```

Record 5
The following is a PBE-GGA calculation of a relaxed structure of Mo12Rh3N5, from Alexandria.

Summary:
The raw formation energy comes out at 0.1395 eV per atom. Its magnetic moment is 0.000 μB per cell. Its density of states at the Fermi level is 23.7 states/eV/f.u.

Geometry as CIF:
```
data_Mo12Rh3N5
_chemical_formula_sum 'Mo96 Rh24 N40'
_space_group_name_H-M_alt 'I a -3 d'
_space_group_IT_number 230
_space_group_name_Hall '-I 4bd 2c 3'
_cell_length_a 13.2477
_cell_length_b 13.2477
_cell_length_c 13.2477
_cell_angle_alpha 90.00
_cell_angle_beta 90.00
_cell_angle_gamma 90.00
loop_
_atom_site_label
_atom_site_fract_x
_atom_site_fract_y
_atom_site_fract_z
_atom_site_occupancy
Mo1 0.0401 0.0551 0.6434 1
Rh1 0.0000 0.2500 0.1250 1
N1 0.0000 0.0000 0.0000 1
N2 0.0000 0.2500 0.3750 1
```

Record 6
The following is a PBE-GGA calculation of a relaxed structure of ThGeBi, from Alexandria.

Summary:
The calculation puts the formation energy at -1.61 eV per formula unit. The excess energy over the best structure of this formula in the dataset comes out at 0.0 meV/atom. Its magnetic moment is 0.000 μB per cell. Its density of states at the Fermi level is 1.8 states/eV/f.u.

Geometry as CIF:
```
data_ThGeBi
_chemical_formula_sum 'Th4 Ge4 Bi4'
_space_group_name_H-M_alt 'C m c m'
_space_group_IT_number 63
_space_group_name_Hall '-C 2c 2'
_cell_length_a 4.4701
_cell_length_b 17.0115
_cell_length_c 4.3161
_cell_angle_alpha 90.00
_cell_angle_beta 90.00
_cell_angle_gamma 90.00
loop_
_atom_site_label
_atom_site_fract_x
_atom_site_fract_y
_atom_site_fract_z
_atom_site_occupancy
Th1 0.0000 0.0945 0.2500 1
Ge1 0.0000 0.4488 0.2500 1
Bi1 0.0000 0.2505 0.7500 1
```

Record 7
The following is a PBE-GGA calculation of a relaxed structure of Cd4SnHg, from Alexandria.

Summary:
The calculation puts the formation energy at 0.38 eV per formula unit. The excess energy over the best structure of this formula in the dataset comes out at 22.8 meV/atom. Its magnetic moment is 0.000 μB per cell. Its density of states at the Fermi level is 2.0 states/eV/f.u.

Geometry as CIF:
```
data_Cd4SnHg
_chemical_formula_sum 'Cd16 Sn4 Hg4'
_space_group_name_H-M_alt 'F -4 3 m'
_space_group_IT_number 216
_space_group_name_Hall 'F -4 2 3'
_cell_length_a 8.3900
_cell_length_b 8.3900
_cell_length_c 8.3900
_cell_angle_alpha 90.00
_cell_angle_beta 90.00
_cell_angle_gamma 90.00
loop_
_atom_site_label
_atom_site_fract_x
_atom_site_fract_y
_atom_site_fract_z
_atom_site_occupancy
Cd1 0.1249 0.1249 0.1249 1
Sn1 0.0000 0.0000 0.5000 1
Hg1 0.2500 0.2500 0.7500 1
```

Record 8
The following is a PBE-GGA calculation of a relaxed structure of Rb2AlGa7, from Alexandria.

Summary:
The calculation puts the formation energy at -0.87 eV per formula unit. Its magnetic moment is 0.000 μB per cell. Its density of states at the Fermi level is 4.2 states/eV/f.u.

Geometry as CIF:
```
data_Rb2AlGa7
_chemical_formula_sum 'Rb2 Al1 Ga7'
_space_group_name_H-M_alt 'P -4 m 2'
_space_group_IT_number 115
_space_group_name_Hall 'P -4 -2'
_cell_length_a 4.5563
_cell_length_b 4.5563
_cell_length_c 11.3921
_cell_angle_alpha 90.00
_cell_angle_beta 90.00
_cell_angle_gamma 90.00
loop_
_atom_site_label
_atom_site_fract_x
_atom_site_fract_y
_atom_site_fract_z
_atom_site_occupancy
Rb1 0.0000 0.5000 0.2487 1
Al1 0.0000 0.0000 0.5000 1
Ga1 0.0000 0.0000 0.0000 1
Ga2 0.0000 0.5000 0.6313 1
Ga3 0.0000 0.5000 0.8685 1
Ga4 0.5000 0.5000 0.0000 1
Ga5 0.5000 0.5000 0.5000 1
```

Record 9
The following is a PBE-GGA calculation of a relaxed structure of DyThMnCu, from Alexandria.

Summary:
The calculation puts the formation energy at 0.20 eV per formula unit. Its magnetic moment is 7.729 μB per cell. Its density of states at the Fermi level is 5.9 states/eV/f.u.

Geometry as CIF:
```
data_DyThMnCu
_chemical_formula_sum 'Dy4 Th4 Mn4 Cu4'
_space_group_name_H-M_alt 'F -4 3 m'
_space_group_IT_number 216
_space_group_name_Hall 'F -4 2 3'
_cell_length_a 7.0336
_cell_length_b 7.0336
_cell_length_c 7.0336
_cell_angle_alpha 90.00
_cell_angle_beta 90.00
_cell_angle_gamma 90.00
loop_
_atom_site_label
_atom_site_fract_x
_atom_site_fract_y
_atom_site_fract_z
_atom_site_occupancy
Dy1 0.0000 0.0000 0.0000 1
Th1 0.0000 0.0000 0.5000 1
Mn1 0.2500 0.2500 0.2500 1
Cu1 0.2500 0.2500 0.7500 1
```

Record 10
The following is a PBE-GGA calculation of a relaxed structure of K2MnTe4As, from Alexandria.

Summary:
The raw formation energy comes out at -0.3861 eV per atom. Its magnetic moment is 16.008 μB per cell. Its density of states at the Fermi level is 2.8 states/eV/f.u.

Geometry as CIF:
```
data_K2MnTe4As
_chemical_formula_sum 'K8 Mn4 Te16 As4'
_space_group_name_H-M_alt 'I m m a'
_space_group_IT_number 74
_space_group_name_Hall '-I 2b 2'
_cell_length_a 8.8870
_cell_length_b 9.0380
_cell_length_c 12.6103
_cell_angle_alpha 90.00
_cell_angle_beta 90.00
_cell_angle_gamma 90.00
loop_
_atom_site_label
_atom_site_fract_x
_atom_site_fract_y
_atom_site_fract_z
_atom_site_occupancy
K1 0.0000 0.0000 0.0000 1
K2 0.2500 0.2500 0.2500 1
Mn1 0.2500 0.2500 0.7500 1
Te1 0.0000 0.0430 0.7342 1
Te2 0.2169 0.2500 0.5259 1
As1 0.0000 0.0000 0.5000 1
```

Record 11
The following is a PBE-GGA calculation of a relaxed structure of CdReSb2Te, from Alexandria.

Summary:
The raw formation energy comes out at 1.7461 eV per atom. The excess energy over the best structure of this formula in the dataset comes out at 1129.5 meV/atom. Its magnetic moment is 3.592 μB per cell. Its density of states at the Fermi level is 3.8 states/eV/f.u.

Geometry as CIF:
```
data_CdReSb2Te
_chemical_formula_sum 'Cd1 Re1 Sb2 Te1'
_space_group_name_H-M_alt 'P 4/m m m'
_space_group_IT_number 123
_space_group_name_Hall '-P 4 2'
_cell_length_a 5.4327
_cell_length_b 5.4327
_cell_length_c 5.4946
_cell_angle_alpha 90.00
_cell_angle_beta 90.00
_cell_angle_gamma 90.00
loop_
_atom_site_label
_atom_site_fract_x
_atom_site_fract_y
_atom_site_fract_z
_atom_site_occupancy
Cd1 0.0000 0.0000 0.0000 1
Re1 0.5000 0.5000 0.5000 1
Sb1 0.0000 0.5000 0.0000 1
Te1 0.0000 0.0000 0.5000 1
```

Record 12
The following is a PBE-GGA calculation of a relaxed structure of Co3CuRh, from Alexandria.

Summary:
The calculation puts the formation energy at 6.48 eV per formula unit. The excess energy over the best structure of this formula in the dataset comes out at 0.0 meV/atom. Its magnetic moment is 6.627 μB per cell. Its density of states at the Fermi level is 6.4 states/eV/f.u.

Geometry as CIF:
```
data_Co3CuRh
_chemical_formula_sum 'Co3 Cu1 Rh1'
_space_group_name_H-M_alt 'P m -3 m'
_space_group_IT_number 221
_space_group_name_Hall '-P 4 2 3'
_cell_length_a 4.2247
_cell_length_b 4.2247
_cell_length_c 4.2247
_cell_angle_alpha 90.00
_cell_angle_beta 90.00
_cell_angle_gamma 90.00
loop_
_atom_site_label
_atom_site_fract_x
_atom_site_fract_y
_atom_site_fract_z
_atom_site_occupancy
Co1 0.0000 0.0000 0.5000 1
Cu1 0.0000 0.0000 0.0000 1
Rh1 0.5000 0.5000 0.5000 1
```